A relaxed Er5TmAg4 crystal, computed with PBE.

Cell lengths 3.574, 3.574, 19.486 Å; angles 90.00, 90.00, 90.00 degrees
Element x y z (fractional)
Er: 0.000 0.000 0.000
Er: 0.000 0.000 0.188
Er: 0.000 0.000 0.375
Er: 0.000 0.000 0.625
Er: 0.000 0.000 0.812
Tm: 0.500 0.500 0.500
Ag: 0.500 0.500 0.093
Ag: 0.500 0.500 0.282
Ag: 0.500 0.500 0.718
Ag: 0.500 0.500 0.907

Summary:
* size of the total moment: 0.000 μB per atom
* calculated total energy: -0.3031 Ry/atom
* energy relative to the elements: -24.6 kJ per mole of atoms